The following is a PBE with a Hubbard U calculation of a geometry-optimized Cr2FePO8 structure, from Alexandria.

Properties
Space-group type: P2/m (10)
E_tot, eV per cell: -84.21

Cell lengths 4.4365, 5.7599, 4.4419 Å; angles 90.00, 90.20, 90.00 degrees
Atoms (fractional coordinates):
Cr 0.0000 0.2454 0.0000
Cr 0.0000 0.7546 0.0000
Fe 0.5000 0.5000 0.5000
P 0.5000 0.0000 0.5000
O 0.1937 0.5000 0.8081
O 0.2200 0.0000 0.7814
O 0.3167 0.2202 0.3181
O 0.3167 0.7798 0.3181
O 0.6833 0.2202 0.6819
O 0.6833 0.7798 0.6819
O 0.7800 0.0000 0.2186
O 0.8063 0.5000 0.1919